*one*
VASP calculation (GGA-PBE) on a geometry-optimized SmHfAu2 structure.

POSCAR file:
```
SmHfAu2
1.0
5.001 0.000 0.000
2.500 4.331 0.000
2.500 1.444 4.083
Hf Au Sm
1 2 1
Direct
0.500 0.500 0.500
0.250 0.250 0.250
0.750 0.750 0.750
0.000 0.000 0.000
```

Computed properties:
**Symmetry**: Fm-3m
**Calculated density**: 13.57 g/cm³
**Total magnetization**: 0.0 Bohr magnetons per cell

*two*
VASP calculation (GGA-PBE) on a geometry-optimized SmHfAu2 structure.

POSCAR file:
```
SmHfAu2
1.0
-3.335 -1.026 1.500
-0.322 -3.314 1.828
0.712 2.057 7.799
Hf Au Sm
1 2 1
Direct
0.000 0.000 0.000
0.741 0.741 0.778
0.259 0.259 0.222
0.500 0.500 0.500
```

Computed properties:
**Symmetry**: R-3m
**Calculated density**: 12.33 g/cm³
**Total magnetization**: 0.0 Bohr magnetons per cell

Looking at the structures above, *one* is most stable, and the difference to the next one is 75 meV per atom.